Entry 1:
Computed, not measured: a relaxed structure of Ba2LiCo at the GGA-PBEsol level of DFT.

Computed properties:
ΔE to the lowest computed polymorph = 78 meV per atom
Energy of formation = 45.8 kJ per mole of atoms
M_tot = 0.77 μB/f.u.
Mass density = 4.71 g/cm3
Density of states at the Fermi level = 14.987 states/eV per cell

Unit cell a=7.775 b=7.771 c=3.975 alpha=90.00 beta=90.16 gamma=90.00
Space group C2/m (No. 12)
Symmetry-distinct sites (fractional):
1 Ba 0.250 0.250 0.000 [4 per cell]
2 Li 0.000 0.000 0.500 [2 per cell]
3 Co 0.000 0.500 0.500 [2 per cell]


Entry 2:
Computed, not measured: a relaxed structure of Ba2LiCo at the GGA-PBEsol level of DFT.

Computed properties:
ΔE to the lowest computed polymorph = 0 meV per atom
Energy of formation = 38.3 kJ per mole of atoms
M_tot = 0.17 μB/f.u.
Mass density = 4.59 g/cm3
Density of states at the Fermi level = 7.368 states/eV per cell

Unit cell a=4.573 b=4.494 c=12.002 alpha=90.00 beta=90.00 gamma=90.00
Space group Amm2 (No. 38)
Symmetry-distinct sites (fractional):
1 Ba 0.000 0.000 0.000 [2 per cell]
2 Ba 0.500 0.000 0.276 [2 per cell]
3 Li 0.500 0.000 0.587 [2 per cell]
4 Co 0.000 0.000 0.682 [2 per cell]